No. 1
This record from the Alexandria database describes an optimized crystal structure of ZrPIr. The functional is PBE-GGA.

The structure in extended XYZ format:
```
18
Lattice="-2.001 -1.021 3.181 5.434 0.453 3.564 -2.154 10.723 2.085" Properties=species:S:1:pos:R:3 pbc="T T T"
Ir 3.139 5.054 4.788
Ir 4.642 1.174 4.489
Ir -3.363 8.980 4.341
Ir 0.236 8.028 6.300
Ir -1.860 5.100 4.042
Ir 1.043 2.127 2.530
Zr -1.983 2.337 3.078
Zr -0.595 9.778 3.955
Zr 3.262 7.818 5.752
Zr 0.723 6.604 3.765
Zr 0.556 3.551 5.065
Zr 1.874 0.376 4.876
P -0.380 0.235 3.412
P -1.654 7.391 4.907
P 1.378 5.826 6.312
P -0.099 4.329 2.519
P 1.660 9.920 5.418
P 2.933 2.763 3.924
```

Total magnetization: 0.0000 μB/atom
ρ: 11090 kg/m3
Electronic total energy: -0.64221 Ry/atom
Fermi-level density of states: 0.2602 states/eV per atom


No. 2
This record from the Alexandria database describes an optimized crystal structure of KNaAuF6. The functional is PBE-GGA.

The structure in extended XYZ format:
```
9
Lattice="5.822 0.138 -0.014 3.028 5.221 -0.031 -0.011 -0.034 5.496" Properties=species:S:1:pos:R:3 pbc="T T T"
K 3.046 5.213 -0.021
F 2.119 0.168 3.975
F 3.694 0.289 1.655
F 4.601 1.846 3.811
F 1.277 1.791 1.650
F 2.103 3.213 3.807
F 3.944 3.269 1.486
Au 2.939 1.773 2.731
Na 5.810 3.599 2.726
```

Total magnetization: 0.1111 μB/atom
ρ: 3759 kg/m3
Electronic total energy: -0.27301 Ry/atom


No. 3
This record from the Alexandria database describes an optimized crystal structure of PmCdAsPt. The functional is PBE-GGA.

The structure in extended XYZ format:
```
4
Lattice="4.955 0.000 0.000 2.478 4.291 0.000 2.478 1.430 4.046" Properties=species:S:1:pos:R:3 pbc="T T T"
Cd 7.433 4.291 3.035
Pt 0.000 0.000 0.000
Pm 2.478 1.430 1.012
As 4.955 2.861 2.023
```

Total magnetization: 0.0000 μB/atom
ρ: 10179 kg/m3
Electronic total energy: -0.34720 Ry/atom
Fermi-level density of states: 0.1350 states/eV per atom


- Which formula does entry 1 have?
  ZrPIr